1.
Entry from Alexandria via LeMat-Bulk: a relaxed structure of RhPbSN2 (PBE).

Unit cell a=3.9623 b=3.9623 c=5.1051 alpha=90.00 beta=90.00 gamma=90.00
Last column: nearest neighbours and their distance in Å.
Space group P4/mmm (No. 123)
Inequivalent atoms, fractional coordinates:
Rh (0.0000, 0.0000, 0.0000) x1  4 N 1.98
Pb (0.5000, 0.5000, 0.5000) x1  4 S 2.80
S (0.0000, 0.0000, 0.5000) x1  2 Rh 2.55, 4 Pb 2.80
N (0.0000, 0.5000, 0.0000) x2  2 Rh 1.98

Total DFT energy (no corrections): -5.5240 eV per atom
ΔE to the lowest computed polymorph: 0 meV per atom
Calculated density: 7.669 g/cm³
N(E_F): 0.561 states/eV/atom

2.
Entry from Alexandria via LeMat-Bulk: a relaxed structure of BeW2Se (PBE).

Unit cell a=3.1740 b=4.3431 c=8.3940 alpha=90.00 beta=90.00 gamma=90.00
Last column: nearest neighbours and their distance in Å.
Space group Imm2 (No. 44)
Inequivalent atoms, fractional coordinates:
Be (0.0000, 0.0000, 0.0000) x2  6 W 2.47-2.69, 2 Se 2.60
W (0.0000, 0.0000, 0.4924) x2  2 Se 2.61, 4 Be 2.69, 4 W 2.84-2.85
W (0.0000, 0.5000, 0.2738) x2  2 Be 2.47, 4 Se 2.70
Se (0.0000, 0.5000, 0.7453) x2  2 Be 2.60, 6 W 2.61-2.70

Total DFT energy (no corrections): -7.7694 eV per atom
ΔE to the lowest computed polymorph: 321 meV per atom
Calculated density: 13.078 g/cm³
N(E_F): 0.667 states/eV/atom

3.
Entry from Alexandria via LeMat-Bulk: a relaxed structure of SmTc2B2 (PBE).

Unit cell a=3.7191 b=3.7191 c=10.0063 alpha=90.00 beta=90.00 gamma=90.00
Last column: nearest neighbours and their distance in Å.
Space group I4/mmm (No. 139)
Inequivalent atoms, fractional coordinates:
Sm (0.0000, 0.0000, 0.0000) x2  8 B 2.84, 8 Tc 3.12
Tc (0.0000, 0.5000, 0.2500) x4  4 B 2.35, 4 Tc 2.63
B (0.0000, 0.0000, 0.3935) x4  1 B 2.13, 4 Tc 2.35

Total DFT energy (no corrections): -7.9966 eV per atom
Calculated density: 8.830 g/cm³
N(E_F): 0.713 states/eV/atom

4.
Entry from Alexandria via LeMat-Bulk: a relaxed structure of Tm6HgBi3 (PBE).

Unit cell a=11.7743 b=11.5682 c=8.3561 alpha=90.00 beta=90.00 gamma=90.00
Last column: nearest neighbours and their distance in Å.
Space group Cmcm (No. 63)
Inequivalent atoms, fractional coordinates:
Tm (0.0000, 0.1623, 0.0063) x8  1 Hg 3.00, 5 Bi 3.11-3.33
Tm (0.1548, 0.5000, 0.0000) x8  4 Bi 3.13-3.23, 2 Hg 3.26
Tm (0.2449, 0.2537, 0.2500) x8  1 Hg 3.10, 3 Bi 3.12-3.26
Hg (0.0000, 0.3523, 0.2500) x4  8 Tm 3.00-3.26
Bi (0.0000, 0.3568, 0.7500) x4  8 Tm 3.11-3.26, 1 Hg 3.36
Bi (0.1470, 0.0003, 0.2500) x8  8 Tm 3.12-3.33, 1 Bi 3.46

Total DFT energy (no corrections): -4.4125 eV per atom
Calculated density: 10.745 g/cm³
N(E_F): 1.059 states/eV/atom

5.
Entry from Alexandria via LeMat-Bulk: a relaxed structure of Ce2GeBr (PBE).

Unit cell a=4.1778 b=4.1778 c=22.7233 alpha=90.00 beta=90.00 gamma=120.00
Last column: nearest neighbours and their distance in Å.
Space group R3m (No. 160, hexagonal axes)
Inequivalent atoms, fractional coordinates:
Ce (0.0000, 0.0000, 0.0000) x3  3 Ge 2.91, 3 Br 3.18
Ce (0.0000, 0.0000, 0.1881) x3  3 Ge 2.94, 3 Br 3.27
Ge (0.0000, 0.0000, 0.5951) x3  6 Ce 2.91-2.94
Br (0.0000, 0.0000, 0.4246) x3  6 Ce 3.18-3.27

Total DFT energy (no corrections): -5.4967 eV per atom
ΔE to the lowest computed polymorph: 58 meV per atom
Calculated density: 6.277 g/cm³
N(E_F): 2.881 states/eV/atom

6.
Entry from Alexandria via LeMat-Bulk: a relaxed structure of KMgTlPb2 (PBE).

Unit cell a=5.9440 b=5.9440 c=6.3251 alpha=90.00 beta=90.00 gamma=90.00
Last column: nearest neighbours and their distance in Å.
Space group P4/mmm (No. 123)
Inequivalent atoms, fractional coordinates:
K (0.0000, 0.0000, 0.0000) x1  2 Tl 3.16
Mg (0.5000, 0.5000, 0.0000) x1  4 K 4.20, 8 Pb 4.34
Tl (0.0000, 0.0000, 0.5000) x1  4 Pb 2.97, 2 K 3.16
Pb (0.0000, 0.5000, 0.5000) x2  2 Tl 2.97

Total DFT energy (no corrections): -2.0619 eV per atom
ΔE to the lowest computed polymorph: 497 meV per atom
Calculated density: 5.069 g/cm³
N(E_F): 0.353 states/eV/atom

7.
Entry from Alexandria via LeMat-Bulk: a relaxed structure of ThScP (PBE).

Unit cell a=3.7935 b=3.7935 c=6.3064 alpha=90.00 beta=90.00 gamma=120.00
Last column: nearest neighbours and their distance in Å.
Space group P3m1 (No. 156)
Inequivalent atoms, fractional coordinates:
Th (0.0000, 0.0000, 0.0000) x1  3 P 2.85
Sc (0.3333, 0.6667, 0.5073) x1  3 P 2.59
P (0.6667, 0.3333, 0.2889) x1  3 Sc 2.59, 3 Th 2.85

Total DFT energy (no corrections): -7.1870 eV per atom
ΔE to the lowest computed polymorph: 71 meV per atom
Calculated density: 6.507 g/cm³
N(E_F): 0.785 states/eV/atom

8.
Entry from Alexandria via LeMat-Bulk: a relaxed structure of ZrBe3Co (PBE).

Unit cell a=4.5397 b=4.5397 c=4.5397 alpha=90.00 beta=90.00 gamma=90.00
Last column: nearest neighbours and their distance in Å.
Space group Pm-3m (No. 221)
Inequivalent atoms, fractional coordinates:
Zr (0.0000, 0.0000, 0.0000) x1  6 Be 2.27
Be (0.0000, 0.0000, 0.5000) x3  2 Zr 2.27
Co (0.5000, 0.5000, 0.5000) x1  12 Be 3.21

Total DFT energy (no corrections): -3.2670 eV per atom
ΔE to the lowest computed polymorph: 2170 meV per atom
Calculated density: 3.145 g/cm³
N(E_F): 1.594 states/eV/atom

Repeat the fifth record exactly.
Entry from Alexandria via LeMat-Bulk: a relaxed structure of Ce2GeBr (PBE).

Unit cell a=4.1778 b=4.1778 c=22.7233 alpha=90.00 beta=90.00 gamma=120.00
Last column: nearest neighbours and their distance in Å.
Space group R3m (No. 160, hexagonal axes)
Inequivalent atoms, fractional coordinates:
Ce (0.0000, 0.0000, 0.0000) x3  3 Ge 2.91, 3 Br 3.18
Ce (0.0000, 0.0000, 0.1881) x3  3 Ge 2.94, 3 Br 3.27
Ge (0.0000, 0.0000, 0.5951) x3  6 Ce 2.91-2.94
Br (0.0000, 0.0000, 0.4246) x3  6 Ce 3.18-3.27

Total DFT energy (no corrections): -5.4967 eV per atom
ΔE to the lowest computed polymorph: 58 meV per atom
Calculated density: 6.277 g/cm³
N(E_F): 2.881 states/eV/atom